The following is a DFT calculation (GGA-PBE) of an optimized crystal structure of Nd4CdHg7.

Computed properties:
Energy of formation from the pure elements (eV/f.u.): -3.69
SG: C2/m
Raw total energy (eV/f.u.): -25.79
N(E_F) (states/eV/f.u.): 8.250

Cell lengths 8.360, 8.360, 9.360 Å; angles 121.68, 121.68, 38.02 degrees
Fractional coordinates of all 12 atoms:
Nd 0.069 0.069 0.247
Nd 0.237 0.237 0.759
Nd 0.763 0.763 0.241
Nd 0.931 0.931 0.753
Cd 0.500 0.500 0.500
Hg 0.000 0.000 0.500
Hg 0.181 0.181 0.039
Hg 0.310 0.310 0.492
Hg 0.445 0.445 0.122
Hg 0.555 0.555 0.878
Hg 0.690 0.690 0.508
Hg 0.819 0.819 0.961